Record 1
An optimized crystal structure of NaZrNiPt2. Source: Alexandria via LeMat-Bulk, functional GGA-PBE.

The structure in POSCAR format:
```
NaZrNiPt2
1.0
4.6979 0.0000 0.0000
0.0000 4.6979 0.0000
0.0000 0.0000 4.2788
Na Zr Ni Pt
1 1 1 2
Direct
0.0000 0.0000 0.0000
0.5000 0.5000 0.0000
0.0000 0.0000 0.5000
0.0000 0.5000 0.5000
0.5000 0.0000 0.5000
```

## Properties
formation energy = 0.371 eV/atom
crystal system = tetragonal
symmetry = No. 123
spin magnetization = 0.2 μB/cell
total energy = -5.18 eV/atom

Record 2
An optimized crystal structure of LiPrPt. Source: Alexandria via LeMat-Bulk, functional GGA-PBE.

The structure in POSCAR format:
```
LiPrPt
1.0
4.5904 0.0000 0.0000
0.0000 3.7700 0.0000
0.0000 0.0000 8.5670
Li Pr Pt
2 2 2
Direct
0.2500 0.0000 0.0930
0.7500 0.0000 0.9070
0.2500 0.5000 0.6817
0.7500 0.5000 0.3183
0.2500 0.0000 0.3926
0.7500 0.0000 0.6074
```

## Properties
polymorph energy (0 for the lowest one) = 136 meV per atom
formation energy = -0.661 eV/atom
crystal system = orthorhombic
symmetry = No. 51
spin magnetization = 0.0 μB/cell
total energy = -4.91 eV/atom

Record 3
An optimized crystal structure of Sc2Ge. Source: Alexandria via LeMat-Bulk, functional GGA-PBE.

The structure in POSCAR format:
```
Sc2Ge
1.0
-1.5784 1.5784 6.2505
1.5784 -1.5784 6.2505
1.5784 1.5784 -6.2505
Sc Ge
2 1
Direct
0.1490 0.1490 0.0000
0.8510 0.8510 0.0000
0.5000 0.5000 0.0000
```

## Properties
formation energy = -0.455 eV/atom
crystal system = tetragonal
symmetry = No. 139
spin magnetization = 0.0 μB/cell
total energy = -6.22 eV/atom

Record 4
An optimized crystal structure of TbHgRhPb. Source: Alexandria via LeMat-Bulk, functional GGA-PBE.

The structure in POSCAR format:
```
TbHgRhPb
1.0
0.0000 3.5551 3.5551
3.5551 0.0000 3.5551
3.5551 3.5551 0.0000
Tb Hg Rh Pb
1 1 1 1
Direct
0.0000 0.0000 0.0000
0.7500 0.7500 0.7500
0.2500 0.2500 0.2500
0.5000 0.5000 0.5000
```

## Properties
formation energy = -0.312 eV/atom
crystal system = cubic
symmetry = No. 216
spin magnetization = 0.0 μB/cell
total energy = -4.31 eV/atom

Record 5
An optimized crystal structure of SrNiTe2. Source: Alexandria via LeMat-Bulk, functional GGA-PBE.

The structure in POSCAR format:
```
SrNiTe2
1.0
0.0000 3.7631 3.7631
3.7631 0.0000 3.7631
3.7631 3.7631 0.0000
Sr Ni Te
1 1 2
Direct
0.0000 0.0000 0.0000
0.2500 0.2500 0.2500
0.5000 0.5000 0.5000
0.7500 0.7500 0.7500
```

## Properties
raw formation energy = -0.0074 eV/atom
crystal system = cubic
symmetry = No. 216
spin magnetization = 0.5 μB/cell
total energy = -3.44 eV/atom

Record 6
An optimized crystal structure of CeErAs2Pd2. Source: Alexandria via LeMat-Bulk, functional GGA-PBE.

The structure in POSCAR format:
```
CeErAs2Pd2
1.0
4.3483 0.0000 0.0000
-2.1742 3.7658 0.0000
0.0000 0.0000 7.5748
Ce Er As Pd
1 1 2 2
Direct
0.0000 0.0000 0.0000
0.0000 0.0000 0.5000
0.3333 0.6667 0.2471
0.6667 0.3333 0.7529
0.3333 0.6667 0.7262
0.6667 0.3333 0.2738
```

## Properties
formation energy = -1.127 eV/atom
crystal system = trigonal
symmetry = No. 164
spin magnetization = 1.1 μB/cell
total energy = -6.16 eV/atom

Record 7
An optimized crystal structure of K2Na3UF12. Source: Alexandria via LeMat-Bulk, functional GGA-PBE.

The structure in POSCAR format:
```
K2Na3UF12
1.0
3.8317 2.2123 7.3655
-3.8317 2.2123 7.3655
0.0000 -4.4245 7.3655
K Na U F
2 3 1 12
Direct
0.0757 0.0757 0.0757
0.9243 0.9243 0.9243
0.0000 0.5000 0.5000
0.5000 0.0000 0.5000
0.5000 0.5000 0.0000
0.5000 0.5000 0.5000
0.1468 0.1468 0.6015
0.1468 0.6015 0.1468
0.1954 0.5720 0.5720
0.3985 0.8532 0.8532
0.4280 0.4280 0.8046
0.4280 0.8046 0.4280
0.5720 0.1954 0.5720
0.5720 0.5720 0.1954
0.6015 0.1468 0.1468
0.8046 0.4280 0.4280
0.8532 0.3985 0.8532
0.8532 0.8532 0.3985
```

## Properties
raw formation energy = -2.6771 eV/atom
crystal system = trigonal
symmetry = No. 166
spin magnetization = 1.8 μB/cell
total energy = -4.89 eV/atom

Record 8
An optimized crystal structure of SnBiSb2Ru. Source: Alexandria via LeMat-Bulk, functional GGA-PBE.

The structure in POSCAR format:
```
SnBiSb2Ru
1.0
5.6159 0.0000 0.0000
0.0000 5.6159 0.0000
0.0000 0.0000 4.9649
Sn Bi Sb Ru
1 1 2 1
Direct
0.0000 0.0000 0.0000
0.5000 0.5000 0.5000
0.0000 0.5000 0.0000
0.5000 0.0000 0.0000
0.0000 0.0000 0.5000
```

## Properties
raw formation energy = 1.0643 eV/atom
crystal system = tetragonal
symmetry = No. 123
spin magnetization = 0.9 μB/cell
total energy = -4.02 eV/atom

Record 9
An optimized crystal structure of RbHgF2. Source: Alexandria via LeMat-Bulk, functional GGA-PBE.

The structure in POSCAR format:
```
RbHgF2
1.0
1.9819 1.1442 7.6925
-1.9819 1.1442 7.6925
0.0000 -2.2885 7.6925
Rb Hg F
1 1 2
Direct
0.0000 0.0000 0.0000
0.5000 0.5000 0.5000
0.4018 0.4018 0.4018
0.5982 0.5982 0.5982
```

## Properties
polymorph energy (0 for the lowest one) = 192 meV per atom
raw formation energy = -1.7174 eV/atom
crystal system = trigonal
symmetry = No. 166
spin magnetization = 0.0 μB/cell
total energy = -2.97 eV/atom

Record 10
An optimized crystal structure of Sm3Y3Ho2. Source: Alexandria via LeMat-Bulk, functional GGA-PBE.

The structure in POSCAR format:
```
Sm3Y3Ho2
1.0
8.1366 -2.8597 0.0000
8.1366 2.8597 0.0000
-2.0729 0.0000 5.6513
Sm Y Ho
3 3 2
Direct
0.0000 0.0000 0.0000
0.1343 0.1343 0.6956
0.8657 0.8657 0.3044
0.3670 0.3670 0.9191
0.5000 0.5000 0.5000
0.6330 0.6330 0.0809
0.2492 0.2492 0.3175
0.7508 0.7508 0.6825
```

## Properties
formation energy = 0.086 eV/atom
crystal system = monoclinic
symmetry = No. 12
spin magnetization = 0.0 μB/cell
total energy = -5.25 eV/atom

Record 11
An optimized crystal structure of CeSI3. Source: Alexandria via LeMat-Bulk, functional GGA-PBE.

The structure in POSCAR format:
```
CeSI3
1.0
6.2234 -4.8582 0.0000
6.2234 4.8582 0.0000
-5.5770 0.0000 6.3721
Ce S I
2 2 6
Direct
0.2470 0.2470 0.1188
0.7530 0.7530 0.8812
0.4527 0.4527 0.5637
0.5473 0.5473 0.4363
0.0728 0.0728 0.2818
0.0993 0.4723 0.8361
0.4723 0.0993 0.8361
0.5277 0.9007 0.1639
0.9007 0.5277 0.1639
0.9272 0.9272 0.7182
```

## Properties
polymorph energy (0 for the lowest one) = 23 meV per atom
raw formation energy = -1.0670 eV/atom
crystal system = monoclinic
symmetry = No. 12
spin magnetization = 0.2 μB/cell
total energy = -4.01 eV/atom

Record 12
An optimized crystal structure of Co2SbRh. Source: Alexandria via LeMat-Bulk, functional GGA-PBE.

The structure in POSCAR format:
```
Co2SbRh
1.0
4.2910 -1.5273 0.0000
4.2910 1.5273 0.0000
-1.1061 0.0000 4.3781
Co Sb Rh
2 1 1
Direct
0.0000 0.0000 0.0000
0.7340 0.7340 0.1786
0.2439 0.2439 0.7103
0.4883 0.4883 0.4576
```

## Properties
raw formation energy = 0.0796 eV/atom
crystal system = monoclinic
symmetry = No. 8
spin magnetization = 3.0 μB/cell
total energy = -6.34 eV/atom

Record 13
An optimized crystal structure of Cs2YNp2Te6. Source: Alexandria via LeMat-Bulk, functional GGA-PBE.

The structure in POSCAR format:
```
Cs2YNp2Te6
1.0
3.8722 -6.7124 0.0000
3.8722 6.7124 0.0000
-2.5692 0.0000 9.1555
Cs Y Np Te
2 1 2 6
Direct
0.1658 0.8342 0.0000
0.8342 0.1658 0.0000
0.0000 0.0000 0.5000
0.3330 0.6670 0.5000
0.6670 0.3330 0.5000
0.0638 0.3971 0.6879
0.2744 0.2744 0.3125
0.3971 0.0638 0.6879
0.6029 0.9362 0.3121
0.7256 0.7256 0.6875
0.9362 0.6029 0.3121
```

## Properties
raw formation energy = -1.0146 eV/atom
crystal system = monoclinic
symmetry = No. 12
spin magnetization = 7.0 μB/cell
total energy = -5.82 eV/atom

Record 14
An optimized crystal structure of CdTc3Ge. Source: Alexandria via LeMat-Bulk, functional GGA-PBE.

The structure in POSCAR format:
```
CdTc3Ge
1.0
4.5731 0.0000 0.0000
0.0000 4.5731 0.0000
0.0000 0.0000 4.5731
Cd Tc Ge
1 3 1
Direct
0.0000 0.0000 0.0000
0.0000 0.5000 0.5000
0.5000 0.0000 0.5000
0.5000 0.5000 0.0000
0.5000 0.5000 0.5000
```

## Properties
polymorph energy (0 for the lowest one) = 0 meV per atom
formation energy = 1.194 eV/atom
crystal system = cubic
symmetry = No. 221
spin magnetization = 0.0 μB/cell
total energy = -6.13 eV/atom

Record 15
An optimized crystal structure of YZrB3. Source: Alexandria via LeMat-Bulk, functional GGA-PBE.

The structure in POSCAR format:
```
YZrB3
1.0
4.3626 0.0000 0.0000
0.0000 4.3626 0.0000
0.0000 0.0000 4.3626
Y Zr B
1 1 3
Direct
0.0000 0.0000 0.0000
0.5000 0.5000 0.5000
0.0000 0.5000 0.5000
0.5000 0.0000 0.5000
0.5000 0.5000 0.0000
```

## Properties
polymorph energy (0 for the lowest one) = 0 meV per atom
formation energy = 0.704 eV/atom
crystal system = cubic
symmetry = No. 221
spin magnetization = 0.0 μB/cell
total energy = -6.30 eV/atom

Record 16
An optimized crystal structure of LiCoMo2I. Source: Alexandria via LeMat-Bulk, functional GGA-PBE.

The structure in POSCAR format:
```
LiCoMo2I
1.0
4.5141 0.0000 0.0000
0.0000 4.5141 0.0000
0.0000 0.0000 5.4314
Li Co Mo I
1 1 2 1
Direct
0.0000 0.0000 0.0000
0.5000 0.5000 0.5000
0.0000 0.5000 0.5000
0.5000 0.0000 0.5000
0.5000 0.5000 0.0000
```

## Properties
raw formation energy = 1.2464 eV/atom
crystal system = tetragonal
symmetry = No. 123
spin magnetization = 2.8 μB/cell
total energy = -5.20 eV/atom

Record 17
An optimized crystal structure of Cs2NaCrCl6. Source: Alexandria via LeMat-Bulk, functional GGA-PBE.

The structure in POSCAR format:
```
Cs2NaCrCl6
1.0
0.0000 5.2277 5.2277
5.2277 0.0000 5.2277
5.2277 5.2277 0.0000
Cs Na Cr Cl
2 1 1 6
Direct
0.2500 0.2500 0.2500
0.7500 0.7500 0.7500
0.0000 0.0000 0.0000
0.5000 0.5000 0.5000
0.2723 0.2723 0.7277
0.2723 0.7277 0.2723
0.2723 0.7277 0.7277
0.7277 0.2723 0.2723
0.7277 0.2723 0.7277
0.7277 0.7277 0.2723
```

## Properties
raw formation energy = -1.6457 eV/atom
crystal system = cubic
symmetry = No. 225
spin magnetization = 3.0 μB/cell
total energy = -4.02 eV/atom

Record 18
An optimized crystal structure of TbHo4Th4. Source: Alexandria via LeMat-Bulk, functional GGA-PBE.

The structure in POSCAR format:
```
TbHo4Th4
1.0
-5.3259 5.3259 2.5201
5.3259 -5.3259 2.5201
5.3259 5.3259 -2.5201
Tb Ho Th
1 4 4
Direct
0.0000 0.0000 0.0000
0.0000 0.3300 0.3300
0.0000 0.6700 0.6700
0.3300 0.0000 0.3300
0.6700 0.0000 0.6700
0.3334 0.3334 0.6669
0.3334 0.6666 0.0000
0.6666 0.3334 0.0000
0.6666 0.6666 0.3331
```

## Properties
formation energy = 0.046 eV/atom
crystal system = tetragonal
symmetry = No. 139
spin magnetization = 0.0 μB/cell
total energy = -5.80 eV/atom

Record 19
An optimized crystal structure of PrPuNiHg. Source: Alexandria via LeMat-Bulk, functional GGA-PBE.

The structure in POSCAR format:
```
PrPuNiHg
1.0
0.0000 3.6660 3.6660
3.6660 0.0000 3.6660
3.6660 3.6660 0.0000
Pr Pu Ni Hg
1 1 1 1
Direct
0.0000 0.0000 0.0000
0.5000 0.5000 0.5000
0.2500 0.2500 0.2500
0.7500 0.7500 0.7500
```

## Properties
formation energy = -0.066 eV/atom
crystal system = cubic
symmetry = No. 216
spin magnetization = 5.8 μB/cell
total energy = -6.36 eV/atom

Record 20
An optimized crystal structure of Li2Ac2PaN4. Source: Alexandria via LeMat-Bulk, functional GGA-PBE.

The structure in POSCAR format:
```
Li2Ac2PaN4
1.0
6.4210 -1.7770 0.0000
6.4210 1.7770 0.0000
-2.0297 0.0000 5.8799
Li Ac Pa N
2 2 1 4
Direct
0.1831 0.1831 0.0034
0.8169 0.8169 0.9966
0.3590 0.3590 0.4269
0.6410 0.6410 0.5731
0.5000 0.5000 0.0000
0.0280 0.0280 0.7760
0.3030 0.3030 0.8085
0.6970 0.6970 0.1915
0.9720 0.9720 0.2240
```

## Properties
raw formation energy = -0.9468 eV/atom
crystal system = monoclinic
symmetry = No. 12
spin magnetization = 0.0 μB/cell
total energy = -7.04 eV/atom